(1)
Here is an optimized crystal structure of Sr2Zn2Rh from Alexandria via LeMat-Bulk. Energies are from PBE.

Space group: C2/m, No. 12
Energy: -2.976 eV per atom
Distance to the lowest polymorph of the same formula: 18 meV per atom
E_form: -0.323 eV per atom
Crystal system: monoclinic

POSCAR file:
```
Sr2Zn2Rh
1.0
5.8238 -2.1472 0.0000
5.8238 2.1472 0.0000
-5.0278 0.0000 10.6931
Sr Zn Rh
4 4 2
Direct
0.0939 0.0939 0.3827
0.2971 0.2971 0.8665
0.7029 0.7029 0.1335
0.9061 0.9061 0.6173
0.0384 0.0384 0.9107
0.3845 0.3845 0.3776
0.6155 0.6155 0.6224
0.9616 0.9616 0.0893
0.4281 0.4281 0.1872
0.5719 0.5719 0.8128
```

***

(2)
Here is an optimized crystal structure of Sr4NiHg2 from Alexandria via LeMat-Bulk. Energies are from PBE.

Space group: I4/mmm, No. 139
Energy: -2.067 eV per atom
E_form: -0.194 eV per atom
Crystal system: tetragonal

POSCAR file:
```
Sr4NiHg2
1.0
5.6126 0.0000 0.0000
0.0000 5.6126 0.0000
0.0000 0.0000 16.9434
Sr Ni Hg
8 2 4
Direct
0.0000 0.0000 0.1785
0.0000 0.0000 0.8215
0.0000 0.5000 0.0000
0.0000 0.5000 0.5000
0.5000 0.0000 0.0000
0.5000 0.0000 0.5000
0.5000 0.5000 0.3215
0.5000 0.5000 0.6785
0.0000 0.0000 0.0000
0.5000 0.5000 0.5000
0.0000 0.0000 0.3762
0.0000 0.0000 0.6238
0.5000 0.5000 0.1238
0.5000 0.5000 0.8762
```

***

(3)
Here is an optimized crystal structure of NaBiPb2O4 from Alexandria via LeMat-Bulk. Energies are from PBE.

Space group: Imma, No. 74
E_form (uncorrected): -1089 meV per atom
Energy: -5.145 eV per atom
Crystal system: orthorhombic

POSCAR file:
```
NaBiPb2O4
1.0
-3.6209 3.6658 5.0133
3.6209 -3.6658 5.0133
3.6209 3.6658 -5.0133
Na Bi Pb O
2 2 4 8
Direct
0.0000 0.0000 0.0000
0.5000 0.0000 0.5000
0.5000 0.0000 0.0000
0.5000 0.5000 0.5000
0.0000 0.0000 0.5000
0.0000 0.5000 0.0000
0.0000 0.5000 0.5000
0.5000 0.5000 0.0000
0.2596 0.2413 0.0183
0.2604 0.2572 0.4968
0.2604 0.7636 0.0032
0.2770 0.7587 0.5183
0.7230 0.2413 0.4817
0.7396 0.2364 0.9968
0.7396 0.7428 0.5032
0.7404 0.7587 0.9817
```